[1]
VASP calculation (PBE) on an optimized crystal structure of PrGaPd.

a b c (Å): 6.660 6.660 6.660
angles (deg): 90.00 90.00 90.00
Space group F-43m (No. 216)
Unique sites:
Pr1 0.000 0.000 0.000 x4
Ga1 0.000 0.000 0.500 x4
Pd1 0.250 0.250 0.750 x4

Results
* raw total energy: -4.9201 eV per atom
* size of the total moment: 1.70 μB per cell


[2]
VASP calculation (PBE) on an optimized crystal structure of PrGaPd.

a b c (Å): 7.271 4.604 7.727
angles (deg): 90.00 90.00 90.00
Space group Pnma (No. 62)
Unique sites:
Pr1 0.021 0.250 0.198 x4
Ga1 0.178 0.250 0.581 x4
Pd1 0.205 0.750 0.409 x4

Results
* raw total energy: -5.1588 eV per atom
* size of the total moment: 0.01 μB per cell


[3]
VASP calculation (PBE) on an optimized crystal structure of Pr2Ga5Pd3.

a b c (Å): 10.385 12.811 5.872
angles (deg): 90.00 90.00 90.00
Space group Ibam (No. 72)
Unique sites:
Pr1 0.227 0.136 0.000 x8
Ga1 0.000 0.000 0.250 x4
Ga2 0.000 0.288 0.250 x8
Ga3 0.163 0.400 0.000 x8
Pd1 0.000 0.500 0.250 x4
Pd2 0.098 0.142 0.500 x8

Results
* raw total energy: -4.8155 eV per atom
* size of the total moment: 0.04 μB per cell


[4]
VASP calculation (PBE) on an optimized crystal structure of PrGaPd.

a b c (Å): 6.861 6.861 6.861
angles (deg): 90.00 90.00 90.00
Space group F-43m (No. 216)
Unique sites:
Pr1 0.000 0.000 0.000 x4
Ga1 0.250 0.250 0.750 x4
Pd1 0.250 0.250 0.250 x4

Results
* raw total energy: -4.4211 eV per atom
* size of the total moment: 0.02 μB per cell


[5]
VASP calculation (PBE) on an optimized crystal structure of Pr2Ga2PdPt3.

a b c (Å): 4.4410 4.4410 9.5851
angles (deg): 90.00 90.00 120.00
Space group P3m1 (No. 156)
Unique sites:
Pr1 0.0000 0.0000 0.0000 x1
Pr2 0.3333 0.6667 0.5033 x1
Ga1 0.6667 0.3333 0.2442 x1
Ga2 0.6667 0.3333 0.7502 x1
Pd1 0.0000 0.0000 0.3267 x1
Pt1 0.0000 0.0000 0.6720 x1
Pt2 0.3333 0.6667 0.1812 x1
Pt3 0.3333 0.6667 0.8248 x1

Results
* raw total energy: -5.8120 eV per atom
* size of the total moment: 0.00 μB per cell


[6]
VASP calculation (PBE) on an optimized crystal structure of PrGa2PdPt.

a b c (Å): 4.309 4.309 10.503
angles (deg): 90.00 90.00 90.00
Space group P4/nmm (No. 129, origin choice 2)
Unique sites:
Pr1 0.250 0.250 0.248 x2
Ga1 0.250 0.250 0.631 x2
Ga2 0.250 0.750 0.000 x2
Pd1 0.250 0.250 0.868 x2
Pt1 0.250 0.750 0.500 x2

Results
* raw total energy: -5.2727 eV per atom
* size of the total moment: 0.00 μB per cell


[7]
VASP calculation (PBE) on an optimized crystal structure of PrGa2PdPt.

a b c (Å): 4.345 4.345 10.411
angles (deg): 90.00 90.00 90.00
Space group P4/nmm (No. 129, origin choice 2)
Unique sites:
Pr1 0.250 0.250 0.245 x2
Ga1 0.250 0.250 0.628 x2
Ga2 0.250 0.750 0.000 x2
Pd1 0.250 0.750 0.500 x2
Pt1 0.250 0.250 0.867 x2

Results
* raw total energy: -5.3218 eV per atom
* size of the total moment: 0.00 μB per cell


[8]
VASP calculation (PBE) on an optimized crystal structure of Pr2GaSnPd4.

a b c (Å): 4.5612 4.5612 9.4432
angles (deg): 90.00 90.00 120.00
Space group P-3m1 (No. 164)
Unique sites:
Pr1 0.3333 0.6667 0.2541 x2
Ga1 0.0000 0.0000 0.5000 x1
Sn1 0.0000 0.0000 0.0000 x1
Pd1 0.3333 0.6667 0.5729 x2
Pd2 0.3333 0.6667 0.9169 x2

Results
* raw total energy: -5.4784 eV per atom
* size of the total moment: 0.00 μB per cell